[1]
Density functional theory data (PBE) for an optimized crystal structure of LiMgTl2F8.

Cell lengths 6.236, 6.236, 6.236 Å; angles 114.60, 114.60, 99.65 degrees
Atoms (fractional coordinates):
Li: 0.000 0.000 0.000
Mg: 0.250 0.750 0.500
Tl: 0.500 0.500 0.000
Tl: 0.750 0.250 0.500
F: 0.293 0.076 0.784
F: 0.293 0.509 0.216
F: 0.344 0.048 0.296
F: 0.491 0.707 0.784
F: 0.752 0.048 0.704
F: 0.924 0.707 0.216
F: 0.952 0.248 0.296
F: 0.952 0.656 0.704

Calculated values
Raw formation energy: -2217 meV per atom
Symmetry: I-4m2
N(E_F): 3.621 states/eV/f.u.

=====

[2]
Density functional theory data (PBE) for an optimized crystal structure of CaTmInPd.

Cell lengths 5.139, 5.139, 5.139 Å; angles 60.00, 60.00, 60.00 degrees
Atoms (fractional coordinates):
Ca: 0.000 0.000 0.000
Tm: 0.500 0.500 0.500
In: 0.250 0.250 0.250
Pd: 0.750 0.750 0.750

Calculated values
Symmetry: F-43m
N(E_F): 1.765 states/eV/f.u.

=====

[3]
Density functional theory data (PBE) for an optimized crystal structure of Co3BSe.

Cell lengths 3.887, 3.887, 3.887 Å; angles 90.00, 90.00, 90.00 degrees
Atoms (fractional coordinates):
Co: 0.000 0.000 0.500
Co: 0.000 0.500 0.000
Co: 0.500 0.000 0.000
B: 0.000 0.000 0.000
Se: 0.500 0.500 0.500

Calculated values
Raw formation energy: 208 meV per atom
Symmetry: Pm-3m
Energy above the lowest structure with this stoichiometry: 0.00 kJ/mol of atoms
N(E_F): 4.462 states/eV/f.u.

=====

[4]
Density functional theory data (PBE) for an optimized crystal structure of SrNdPt10.

Cell lengths 4.415, 5.476, 9.427 Å; angles 90.00, 90.00, 90.00 degrees
Atoms (fractional coordinates):
Sr: 0.000 0.000 0.000
Nd: 0.000 0.500 0.500
Pt: 0.000 0.000 0.336
Pt: 0.000 0.000 0.664
Pt: 0.000 0.500 0.170
Pt: 0.000 0.500 0.830
Pt: 0.500 0.000 0.500
Pt: 0.500 0.252 0.254
Pt: 0.500 0.252 0.746
Pt: 0.500 0.500 0.000
Pt: 0.500 0.748 0.254
Pt: 0.500 0.748 0.746

Calculated values
Symmetry: Pmmm
N(E_F): 6.999 states/eV/f.u.

=====

Number 1: VASP energy -4.151 eV/atom. Number 2: VASP energy -4.152 eV/atom. Number 3: VASP energy -6.088 eV/atom. Number 4: VASP energy -6.210 eV/atom.